5
Lattice="5.623 0.000 0.000 0.000 5.623 0.000 0.000 0.000 5.623" Properties=species:S:1:pos:R:3 comment="KTe3Se, optimized geometry, DFT PBE" raw_formation_energy_mev_per_atom=-84 density_g_cm3=4.68 space_group=Pm-3m relative_energy_mev_per_atom=0 pbc="T T T"
K 0.000 0.000 0.000
Te 0.000 2.812 2.812
Te 2.812 0.000 2.812
Te 2.812 2.812 0.000
Se 2.812 2.812 2.812